VASP calculation (PBE) on an optimized crystal structure of ZrAlNi.

Structure (CIF):
```
data_ZrAlNi
_space_group_name_H-M_alt 'P 1'
_space_group_IT_number 1
_space_group_name_Hall 'P 1'
_cell_length_a 3.0218
_cell_length_b 4.2596
_cell_length_c 16.3726
_cell_angle_alpha 90.00
_cell_angle_beta 90.00
_cell_angle_gamma 90.00
loop_
_atom_site_label
_atom_site_type_symbol
_atom_site_fract_x
_atom_site_fract_y
_atom_site_fract_z
Al1 Al 0.5008 0.7500 0.9604
Al2 Al 0.4992 0.2500 0.4604
Al3 Al 0.4992 0.2500 0.0396
Al4 Al 0.5008 0.7500 0.5396
Ni1 Ni 0.4999 0.2500 0.1826
Ni2 Ni 0.5001 0.7500 0.8174
Ni3 Ni 0.4999 0.2500 0.3174
Ni4 Ni 0.5001 0.7500 0.6826
Zr1 Zr 0.9997 0.7500 0.3714
Zr2 Zr 0.9997 0.7500 0.1286
Zr3 Zr 0.0003 0.2500 0.8714
Zr4 Zr 0.0003 0.2500 0.6286
```

Space-group type: Cmmm (65)
Size of the total moment: 0.00 μB per atom
DFT formation energy: -0.168 eV per atom